# 1
# ReSb2Ru, optimized geometry, DFT PBEsol
data_ReSb2Ru
_symmetry_space_group_name_H-M 'P m m 2'
_symmetry_Int_Tables_number 25
_symmetry_space_group_name_Hall 'P 2 -2'
_cell_length_a 3.095
_cell_length_b 4.127
_cell_length_c 5.511
_cell_angle_alpha 90.00
_cell_angle_beta 90.00
_cell_angle_gamma 90.00
loop_
_atom_site_label
_atom_site_fract_x
_atom_site_fract_y
_atom_site_fract_z
_atom_site_occupancy
Re1 0.000 0.000 0.000 1
Sb1 0.000 0.000 0.488 1
Sb2 0.500 0.500 0.843 1
Ru1 0.500 0.500 0.330 1
# Calculated density = 12.52 Mg/m³
# Raw formation energy = 0.35 eV/atom

# 2
# ReSb2Ru, optimized geometry, DFT PBEsol
data_ReSb2Ru
_symmetry_space_group_name_H-M 'C 1 2/m 1'
_symmetry_Int_Tables_number 12
_symmetry_space_group_name_Hall '-C 2y'
_cell_length_a 8.420
_cell_length_b 3.124
_cell_length_c 5.433
_cell_angle_alpha 90.00
_cell_angle_beta 102.61
_cell_angle_gamma 90.00
loop_
_atom_site_label
_atom_site_fract_x
_atom_site_fract_y
_atom_site_fract_z
_atom_site_occupancy
Re1 0.000 0.000 0.000 1
Sb1 0.250 0.000 0.751 1
Ru1 0.000 0.500 0.500 1
# Calculated density = 12.64 Mg/m³
# Raw formation energy = 0.40 eV/atom

# 3
# ReSb2Ru, optimized geometry, DFT PBEsol
data_ReSb2Ru
_symmetry_space_group_name_H-M 'P 4/m m m'
_symmetry_Int_Tables_number 123
_symmetry_space_group_name_Hall '-P 4 2'
_cell_length_a 3.244
_cell_length_b 3.244
_cell_length_c 6.431
_cell_angle_alpha 90.00
_cell_angle_beta 90.00
_cell_angle_gamma 90.00
loop_
_atom_site_label
_atom_site_fract_x
_atom_site_fract_y
_atom_site_fract_z
_atom_site_occupancy
Re1 0.000 0.000 0.000 1
Sb1 0.500 0.500 0.249 1
Ru1 0.000 0.000 0.500 1
# Calculated density = 13.03 Mg/m³
# Raw formation energy = 0.32 eV/atom

# 4
# ScRe2Ru, optimized geometry, DFT PBEsol
data_ScRe2Ru
_symmetry_space_group_name_H-M 'C 1 2/m 1'
_symmetry_Int_Tables_number 12
_symmetry_space_group_name_Hall '-C 2y'
_cell_length_a 5.230
_cell_length_b 8.877
_cell_length_c 2.736
_cell_angle_alpha 90.00
_cell_angle_beta 108.80
_cell_angle_gamma 90.00
loop_
_atom_site_label
_atom_site_fract_x
_atom_site_fract_y
_atom_site_fract_z
_atom_site_occupancy
Sc1 0.000 0.000 0.000 1
Re1 0.250 0.250 0.500 1
Ru1 0.000 0.500 0.000 1
# E_form = 0.0247 eV per atom
# Calculated density = 14.32 Mg/m³

# 5
# Sc2ReSnRu, optimized geometry, DFT PBEsol
data_Sc2ReSnRu
_symmetry_space_group_name_H-M 'P 4/m m m'
_symmetry_Int_Tables_number 123
_symmetry_space_group_name_Hall '-P 4 2'
_cell_length_a 4.847
_cell_length_b 4.847
_cell_length_c 5.006
_cell_angle_alpha 90.00
_cell_angle_beta 90.00
_cell_angle_gamma 90.00
loop_
_atom_site_label
_atom_site_fract_x
_atom_site_fract_y
_atom_site_fract_z
_atom_site_occupancy
Sc1 0.000 0.500 0.000 1
Re1 0.000 0.000 0.000 1
Sn1 0.000 0.000 0.500 1
Ru1 0.500 0.500 0.500 1
# E_form = 0.9213 eV per atom
# Calculated density = 7.00 Mg/m³

# 6
# ReRu2Se, optimized geometry, DFT PBEsol
data_ReRu2Se
_symmetry_space_group_name_H-M 'P m m 2'
_symmetry_Int_Tables_number 25
_symmetry_space_group_name_Hall 'P 2 -2'
_cell_length_a 2.827
_cell_length_b 3.783
_cell_length_c 5.476
_cell_angle_alpha 90.00
_cell_angle_beta 90.00
_cell_angle_gamma 90.00
loop_
_atom_site_label
_atom_site_fract_x
_atom_site_fract_y
_atom_site_fract_z
_atom_site_occupancy
Re1 0.000 0.000 0.000 1
Ru1 0.000 0.000 0.487 1
Ru2 0.500 0.500 0.192 1
Se1 0.500 0.500 0.660 1
# Calculated density = 13.25 Mg/m³
# Raw formation energy = 0.43 eV/atom

What is the calculated density in the fourth record?
14.32 Mg/m³

Repeat the fifth record exactly.
# Sc2ReSnRu, optimized geometry, DFT PBEsol
data_Sc2ReSnRu
_symmetry_space_group_name_H-M 'P 4/m m m'
_symmetry_Int_Tables_number 123
_symmetry_space_group_name_Hall '-P 4 2'
_cell_length_a 4.847
_cell_length_b 4.847
_cell_length_c 5.006
_cell_angle_alpha 90.00
_cell_angle_beta 90.00
_cell_angle_gamma 90.00
loop_
_atom_site_label
_atom_site_fract_x
_atom_site_fract_y
_atom_site_fract_z
_atom_site_occupancy
Sc1 0.000 0.500 0.000 1
Re1 0.000 0.000 0.000 1
Sn1 0.000 0.000 0.500 1
Ru1 0.500 0.500 0.500 1
# E_form = 0.9213 eV per atom
# Calculated density = 7.00 Mg/m³

Look up the calculated density of the first one.
12.52 Mg/m³